# 1
Entry from Alexandria: a geometry-optimized NaUCl2 structure (PBE).

Calculated values
uncorrected energy	-20.3	eV/cell
density	5248	kg/m3
E_form (uncorrected)	-1.007	eV per atom
volume	105	Å³/cell
D(E_F)	4.7	states/eV/cell
space-group type	No. 166

a b c (Å): 3.4857 3.4857 10.1822
angles (deg): 80.14 80.14 60.00
With the nearest neighbours (Å) after each atom.
Element x y z (fractional)
1 Na 0.0000 0.0000 0.0000  2 Cl 3.00
2 U 0.5000 0.5000 0.5000  6 Cl 2.83
3 Cl 0.1001 0.1001 0.6996  3 U 2.83, 1 Na 3.00
4 Cl 0.8999 0.8999 0.3004  3 U 2.83, 1 Na 3.00

# 2
Entry from Alexandria: a geometry-optimized PrSi2 structure (PBE).

Calculated values
uncorrected energy	-16.7	eV/cell
density	4698	kg/m3
E_form (uncorrected)	-0.359	eV per atom
volume	70	Å³/cell
D(E_F)	1.2	states/eV/cell
space-group type	No. 12

a b c (Å): 4.2620 4.2620 4.1018
angles (deg): 104.26 104.26 91.78
With the nearest neighbours (Å) after each atom.
Element x y z (fractional)
1 Pr 0.5000 0.5000 0.0000  10 Si 3.01-3.35
2 Si 0.1031 0.1031 0.2970  2 Si 2.31-2.39
3 Si 0.8969 0.8969 0.7030  2 Si 2.31-2.39

# 3
Entry from Alexandria: a geometry-optimized BaSeN4 structure (PBE).

Calculated values
uncorrected energy	-84.1	eV/cell
density	3117	kg/m3
E_form (uncorrected)	-0.554	eV per atom
volume	290	Å³/cell
space-group type	No. 63

a b c (Å): 7.6058 7.6058 6.4042
angles (deg): 90.00 90.00 128.44
With the nearest neighbours (Å) after each atom.
Element x y z (fractional)
1 Ba 0.2679 0.7321 0.2500  4 N 3.16-3.33, 4 Se 3.26-3.31
2 Ba 0.7321 0.2679 0.7500  4 N 3.16-3.33, 4 Se 3.26-3.31
3 Se 0.7750 0.2250 0.2500  4 Ba 3.26-3.31, 4 N 3.47-3.48
4 Se 0.2250 0.7750 0.7500  4 Ba 3.26-3.31, 4 N 3.47-3.48
5 N 0.2969 0.2726 0.7500  1 N 1.12
6 N 0.1516 0.2753 0.7500  1 N 1.12
7 N 0.2726 0.2969 0.2500  1 N 1.12
8 N 0.2753 0.1516 0.2500  1 N 1.12
9 N 0.7031 0.7274 0.2500  1 N 1.12
10 N 0.7274 0.7031 0.7500  1 N 1.12
11 N 0.8484 0.7247 0.2500  1 N 1.12
12 N 0.7247 0.8484 0.7500  1 N 1.12

# 4
Entry from Alexandria: a geometry-optimized Ho2MnMoN5 structure (PBE).

Calculated values
uncorrected energy	-157.2	eV/cell
density	8703	kg/m3
E_form (uncorrected)	-0.869	eV per atom
volume	210	Å³/cell
D(E_F)	6.6	states/eV/cell
space-group type	No. 36

a b c (Å): 3.1799 6.9772 9.7287
angles (deg): 90.00 90.00 103.17
With the nearest neighbours (Å) after each atom.
Element x y z (fractional)
1 Ho 0.8700 0.7399 0.8205  7 N 2.40-2.60
2 Ho 0.1203 0.2405 0.6886  8 N 2.44-2.57
3 Ho 0.1300 0.2601 0.3205  7 N 2.40-2.60
4 Ho 0.8797 0.7595 0.1886  8 N 2.44-2.57
5 Mn 0.5519 0.1037 0.9479  4 N 1.75-1.93
6 Mn 0.4481 0.8963 0.4479  4 N 1.75-1.93
7 Mo 0.7976 0.5952 0.5188  3 N 1.90-2.12
8 Mo 0.2024 0.4048 0.0188  3 N 1.90-2.12
9 N 0.3422 0.6844 0.0060  1 Mo 1.90
10 N 0.6821 0.3641 0.8683  1 Mn 1.93
11 N 0.5011 0.0023 0.7827  1 Mn 1.75
12 N 0.3009 0.6018 0.6624  2 Mo 2.12
13 N 0.9699 0.9397 0.5287  2 Mn 1.80
14 N 0.6578 0.3156 0.5060  1 Mo 1.90
15 N 0.3179 0.6359 0.3683  1 Mn 1.93
16 N 0.4989 0.9977 0.2827  1 Mn 1.75
17 N 0.6991 0.3982 0.1624  2 Mo 2.12
18 N 0.0301 0.0603 0.0287  2 Mn 1.80

What did the first record say?
Entry from Alexandria: a geometry-optimized NaUCl2 structure (PBE).

Calculated values
uncorrected energy	-20.3	eV/cell
density	5248	kg/m3
E_form (uncorrected)	-1.007	eV per atom
volume	105	Å³/cell
D(E_F)	4.7	states/eV/cell
space-group type	No. 166

a b c (Å): 3.4857 3.4857 10.1822
angles (deg): 80.14 80.14 60.00
With the nearest neighbours (Å) after each atom.
Element x y z (fractional)
1 Na 0.0000 0.0000 0.0000  2 Cl 3.00
2 U 0.5000 0.5000 0.5000  6 Cl 2.83
3 Cl 0.1001 0.1001 0.6996  3 U 2.83, 1 Na 3.00
4 Cl 0.8999 0.8999 0.3004  3 U 2.83, 1 Na 3.00

Q: Which of these has the highest E_form (uncorrected)?
A: PrSi2

Q: Which formula does entry 1 have?
A: NaUCl2